Computed, not measured: ZrFe2Re after structural relaxation at the PBE level of DFT.

* volume: 59.4 Å³/cell
* energy of formation: 0.1090 eV/atom
* M_tot: 4.1 μB per formula unit

a b c (Å): 2.7020 4.3380 5.1401
angles (deg): 90.00 99.56 90.00
Closest atoms and distances in Å follow each position.
Sites, in units of the cell vectors:
1 Zr 0.0000 0.0000 0.0000  4 Fe 2.68-2.71, 2 Zr 2.70, 2 Re 2.81
2 Fe 0.5183 0.0000 0.4926  2 Re 2.57, 4 Fe 2.60-2.70, 2 Zr 2.68-2.71
3 Fe 0.7097 0.5000 0.2501  2 Re 2.54-2.80, 4 Fe 2.60-2.70, 2 Zr 2.70
4 Re 0.2572 0.5000 0.7019  4 Fe 2.54-2.80, 2 Re 2.70, 2 Zr 2.81